Entry 1:
Here is Hf5ZrBi6 after structural relaxation from Alexandria via LeMat-Bulk. Energies are from PBE.

Properties
- E_tot: -81.34 eV per formula unit
- Space-group type: No. 12

The structure in POSCAR format:
```
Hf5ZrBi6
1.0
-0.610 5.609 4.547
-7.161 0.420 1.830
-2.570 -3.593 5.741
Hf Zr Bi
5 1 6
Direct
0.500 0.118 0.764
0.000 0.302 0.396
0.500 0.500 0.000
0.000 0.698 0.604
0.500 0.882 0.236
0.000 0.000 0.000
0.722 0.097 0.348
0.278 0.556 0.348
0.201 0.297 0.000
0.799 0.703 0.000
0.722 0.444 0.652
0.278 0.903 0.652
```

=====

Entry 2:
Here is Hf3ZrBi after structural relaxation from Alexandria via LeMat-Bulk. Energies are from PBE.

Properties
- Space-group type: No. 221
- Energy above the most stable polymorph in this dataset: 1041 meV per atom

The structure in POSCAR format:
```
Hf3ZrBi
1.0
5.178 0.000 0.000
0.000 5.178 0.000
0.000 0.000 5.178
Hf Bi Zr
3 1 1
Direct
0.000 0.500 0.000
0.000 0.000 0.500
0.500 0.000 0.000
0.500 0.500 0.500
0.000 0.000 0.000
```

=====

Entry 3:
Here is Hf2Zr2Bi after structural relaxation from Alexandria via LeMat-Bulk. Energies are from PBE.

Properties
- Space-group type: No. 127
- Energy above the most stable polymorph in this dataset: 224 meV per atom

The structure in POSCAR format:
```
Hf2Zr2Bi
1.0
-2.642 5.358 4.782
0.851 -4.826 5.878
3.832 1.376 0.575
Hf Bi Zr
4 2 4
Direct
0.164 0.664 0.500
0.664 0.836 0.500
0.836 0.336 0.500
0.336 0.164 0.500
0.000 0.000 0.000
0.500 0.500 0.000
0.366 0.866 0.000
0.866 0.634 0.000
0.634 0.134 0.000
0.134 0.366 0.000
```

=====

Entry 4:
Here is Hf5ZrBi4 after structural relaxation from Alexandria via LeMat-Bulk. Energies are from PBE.

Properties
- E_tot: -72.58 eV per formula unit
- Space-group type: No. 59

The structure in POSCAR format:
```
Hf5ZrBi4
1.0
5.507 0.000 0.000
0.000 10.449 0.000
0.000 0.000 8.960
Hf Zr Bi
10 2 8
Direct
0.256 0.750 0.666
0.256 0.250 0.666
0.658 0.500 0.000
0.256 0.750 0.334
0.256 0.250 0.334
0.744 0.750 0.166
0.744 0.250 0.166
0.342 0.000 0.500
0.744 0.250 0.834
0.744 0.750 0.834
0.528 0.000 0.000
0.472 0.500 0.500
0.045 0.000 0.805
0.241 0.692 0.000
0.241 0.308 0.000
0.045 0.000 0.195
0.955 0.500 0.305
0.759 0.808 0.500
0.759 0.192 0.500
0.955 0.500 0.695
```

=====

Entry 5:
Here is HfZr5Bi2 after structural relaxation from Alexandria via LeMat-Bulk. Energies are from PBE.

Properties
- E_tot: -60.62 eV per formula unit
- Space-group type: No. 71

The structure in POSCAR format:
```
HfZr5Bi2
1.0
-2.730 1.238 2.025
-5.618 -4.906 -1.342
0.276 -4.302 6.233
Hf Zr Bi
1 5 2
Direct
0.000 0.000 0.000
0.000 0.500 0.500
0.634 0.577 0.155
0.366 0.423 0.845
0.366 0.845 0.423
0.634 0.155 0.577
0.728 0.772 0.772
0.272 0.228 0.228
```

=====

Entry 6:
Here is HfZr3Bi after structural relaxation from Alexandria via LeMat-Bulk. Energies are from PBE.

Properties
- Space-group type: No. 11
- Energy above the most stable polymorph in this dataset: 0 meV per atom

The structure in POSCAR format:
```
HfZr3Bi
1.0
-1.029 4.882 1.174
-6.424 -0.964 -1.622
-5.388 -4.084 12.258
Hf Zr Bi
4 12 4
Direct
0.250 0.343 0.032
0.750 0.657 0.968
0.250 0.779 0.432
0.750 0.221 0.568
0.250 0.279 0.429
0.750 0.721 0.571
0.250 0.836 0.034
0.750 0.164 0.966
0.750 0.393 0.175
0.250 0.607 0.825
0.750 0.552 0.381
0.750 0.045 0.381
0.250 0.448 0.619
0.250 0.955 0.619
0.750 0.894 0.173
0.250 0.106 0.827
0.250 0.594 0.237
0.750 0.406 0.763
0.250 0.094 0.236
0.750 0.906 0.764
```

=====

Entry 7:
Here is Hf3ZrBi after structural relaxation from Alexandria via LeMat-Bulk. Energies are from PBE.

Properties
- Space-group type: No. 221
- Energy above the most stable polymorph in this dataset: 1200 meV per atom

The structure in POSCAR format:
```
Hf3ZrBi
1.0
-0.400 3.104 4.280
-5.184 0.615 -0.931
-1.041 -4.255 2.989
Hf Bi Zr
3 1 1
Direct
0.000 0.500 0.000
0.000 0.000 0.500
0.500 0.000 0.000
0.000 0.000 0.000
0.500 0.500 0.500
```

=====

Entry 8:
Here is Hf2Zr2Bi after structural relaxation from Alexandria via LeMat-Bulk. Energies are from PBE.

Properties
- Space-group type: No. 127
- Energy above the most stable polymorph in this dataset: 185 meV per atom

The structure in POSCAR format:
```
Hf2Zr2Bi
1.0
-5.088 5.717 0.985
-3.496 -1.975 -6.589
-2.412 -2.495 2.027
Hf Bi Zr
4 2 4
Direct
0.370 0.870 0.000
0.870 0.630 0.000
0.630 0.130 0.000
0.130 0.370 0.000
0.000 0.000 0.000
0.500 0.500 0.000
0.169 0.669 0.500
0.669 0.831 0.500
0.831 0.331 0.500
0.331 0.169 0.500
```

=====

Entry 9:
Here is HfZrBi3 after structural relaxation from Alexandria via LeMat-Bulk. Energies are from PBE.

Properties
- Space-group type: No. 221
- Energy above the most stable polymorph in this dataset: 900 meV per atom

The structure in POSCAR format:
```
HfZrBi3
1.0
-4.351 -2.183 -2.716
-1.549 -2.681 4.635
-3.121 4.373 1.486
Hf Bi Zr
1 3 1
Direct
0.000 0.000 0.000
0.000 0.500 0.000
0.000 0.000 0.500
0.500 0.000 0.000
0.500 0.500 0.500
```

=====

Entry 10:
Here is Hf3Zr2Bi after structural relaxation from Alexandria via LeMat-Bulk. Energies are from PBE.

Properties
- E_tot: -51.27 eV per formula unit
- Space-group type: No. 69

The structure in POSCAR format:
```
Hf3Zr2Bi
1.0
5.341 1.808 0.000
0.736 5.591 0.000
-3.038 -3.700 9.777
Hf Zr Bi
6 4 2
Direct
0.793 0.793 0.170
0.623 0.623 0.830
0.207 0.207 0.830
0.377 0.377 0.170
0.144 0.144 0.288
0.856 0.856 0.712
0.750 0.250 0.500
0.771 0.229 0.000
0.250 0.750 0.500
0.229 0.771 0.000
0.696 0.696 0.392
0.304 0.304 0.608
```

=====

Entry 11:
Here is HfZr2Bi after structural relaxation from Alexandria via LeMat-Bulk. Energies are from PBE.

Properties
- E_tot: -29.45 eV per formula unit
- Space-group type: No. 122

The structure in POSCAR format:
```
HfZr2Bi
1.0
-2.762 -5.314 -5.623
-2.467 -5.055 5.988
-5.293 -3.832 0.220
Hf Bi Zr
2 2 4
Direct
0.500 0.500 0.000
0.250 0.750 0.500
0.000 0.000 0.000
0.750 0.250 0.500
0.633 0.125 0.250
0.117 0.625 0.250
0.375 0.367 0.750
0.875 0.883 0.750
```

=====

Entry 12:
Here is Hf3ZrBi after structural relaxation from Alexandria via LeMat-Bulk. Energies are from PBE.

Properties
- Space-group type: No. 15
- Energy above the most stable polymorph in this dataset: 0 meV per atom

The structure in POSCAR format:
```
Hf3ZrBi
1.0
6.184 0.532 0.660
0.946 8.771 1.159
0.946 -0.738 8.817
Hf Zr Bi
12 4 4
Direct
0.156 0.735 0.880
0.344 0.120 0.265
0.844 0.265 0.120
0.656 0.880 0.735
0.363 0.375 0.007
0.137 0.993 0.625
0.637 0.625 0.993
0.863 0.007 0.375
0.050 0.434 0.794
0.450 0.206 0.566
0.950 0.566 0.206
0.550 0.794 0.434
0.538 0.548 0.672
0.962 0.328 0.452
0.462 0.452 0.328
0.038 0.672 0.548
0.750 0.919 0.081
0.250 0.081 0.919
0.750 0.216 0.784
0.250 0.784 0.216
```

=====

Entry 13:
Here is HfZr12Bi6 after structural relaxation from Alexandria via LeMat-Bulk. Energies are from PBE.

Properties
- E_tot: -139.12 eV per formula unit
- Space-group type: No. 148

The structure in POSCAR format:
```
HfZr12Bi6
1.0
0.257 8.538 0.408
-7.551 -2.634 -3.027
1.508 -3.419 7.692
Hf Zr Bi
1 12 6
Direct
0.000 0.000 0.000
0.801 0.684 0.543
0.543 0.801 0.684
0.684 0.543 0.801
0.199 0.316 0.457
0.457 0.199 0.316
0.316 0.457 0.199
0.901 0.831 0.260
0.169 0.740 0.099
0.740 0.099 0.169
0.099 0.169 0.740
0.831 0.260 0.901
0.260 0.901 0.831
0.634 0.918 0.410
0.590 0.366 0.082
0.082 0.590 0.366
0.366 0.082 0.590
0.410 0.634 0.918
0.918 0.410 0.634
```

=====

Entry 14:
Here is HfZr5Bi4 after structural relaxation from Alexandria via LeMat-Bulk. Energies are from PBE.

Properties
- E_tot: -67.90 eV per formula unit
- Space-group type: No. 59

The structure in POSCAR format:
```
HfZr5Bi4
1.0
5.440 0.000 0.000
0.000 10.521 0.000
0.000 0.000 9.128
Hf Zr Bi
2 10 8
Direct
0.694 0.000 0.000
0.306 0.500 0.500
0.250 0.749 0.668
0.250 0.251 0.668
0.527 0.500 0.000
0.250 0.749 0.332
0.250 0.251 0.332
0.750 0.751 0.168
0.750 0.249 0.168
0.473 0.000 0.500
0.750 0.249 0.832
0.750 0.751 0.832
0.956 0.000 0.691
0.256 0.812 0.000
0.256 0.188 0.000
0.956 0.000 0.309
0.044 0.500 0.191
0.744 0.688 0.500
0.744 0.312 0.500
0.044 0.500 0.809
```

=====

Entry 15:
Here is HfZr2Bi after structural relaxation from Alexandria via LeMat-Bulk. Energies are from PBE.

Properties
- E_tot: -31.46 eV per formula unit
- Space-group type: No. 123

The structure in POSCAR format:
```
HfZr2Bi
1.0
-2.850 -0.177 3.365
2.693 -3.017 2.122
2.215 3.424 2.056
Hf Bi Zr
1 1 2
Direct
0.500 0.000 0.000
0.500 0.500 0.500
0.000 0.000 0.500
0.000 0.500 0.000
```

=====

Entry 16:
Here is HfZr5Bi after structural relaxation from Alexandria via LeMat-Bulk. Energies are from PBE.

Properties
- E_tot: -55.99 eV per formula unit
- Space-group type: No. 15

The structure in POSCAR format:
```
HfZr5Bi
1.0
-1.058 -7.659 3.846
-2.629 -4.650 -6.785
3.240 -4.872 -1.858
Hf Zr Bi
2 10 2
Direct
0.438 0.562 0.250
0.562 0.438 0.750
0.849 0.633 0.128
0.642 0.970 0.056
0.633 0.849 0.628
0.721 0.279 0.250
0.030 0.358 0.444
0.970 0.642 0.556
0.279 0.721 0.750
0.367 0.151 0.372
0.358 0.030 0.944
0.151 0.367 0.872
0.000 0.000 0.000
0.000 0.000 0.500
```

=====

Entry 17:
Here is Hf2Zr2Bi after structural relaxation from Alexandria via LeMat-Bulk. Energies are from PBE.

Properties
- Space-group type: No. 12
- Energy above the most stable polymorph in this dataset: 0 meV per atom

The structure in POSCAR format:
```
Hf2Zr2Bi
1.0
4.170 0.000 0.000
-2.085 5.291 -0.025
0.000 0.067 10.577
Hf Zr Bi
4 4 2
Direct
0.357 0.714 0.538
0.465 0.929 0.858
0.643 0.286 0.462
0.535 0.071 0.142
0.952 0.904 0.345
0.153 0.306 0.956
0.048 0.096 0.655
0.847 0.694 0.044
0.756 0.511 0.749
0.244 0.489 0.251
```

=====

Entry 18:
Here is HfZr6Bi3 after structural relaxation from Alexandria via LeMat-Bulk. Energies are from PBE.

Properties
- E_tot: -73.30 eV per formula unit
- Space-group type: No. 36

The structure in POSCAR format:
```
HfZr6Bi3
1.0
7.401 0.000 0.000
0.000 8.279 0.871
0.000 -0.998 8.264
Hf Zr Bi
2 12 6
Direct
0.955 0.240 0.760
0.455 0.760 0.240
0.171 0.719 0.546
0.671 0.546 0.719
0.320 0.563 0.948
0.820 0.948 0.563
0.236 0.014 0.986
0.562 0.205 0.795
0.062 0.795 0.205
0.736 0.986 0.014
0.320 0.052 0.437
0.820 0.437 0.052
0.171 0.454 0.281
0.671 0.281 0.454
0.475 0.858 0.737
0.975 0.737 0.858
0.299 0.385 0.615
0.799 0.615 0.385
0.975 0.142 0.263
0.475 0.263 0.142
```

=====

Entry 19:
Here is HfZrBi3 after structural relaxation from Alexandria via LeMat-Bulk. Energies are from PBE.

Properties
- Space-group type: No. 11
- Energy above the most stable polymorph in this dataset: 227 meV per atom

The structure in POSCAR format:
```
HfZrBi3
1.0
-0.488 2.335 -3.087
-6.143 0.767 4.052
4.497 7.963 5.312
Hf Zr Bi
2 2 6
Direct
0.931 0.368 0.250
0.069 0.632 0.750
0.253 0.008 0.250
0.747 0.992 0.750
0.845 0.187 0.014
0.155 0.813 0.986
0.845 0.187 0.486
0.155 0.813 0.514
0.588 0.680 0.250
0.412 0.320 0.750
```

=====

Entry 20:
Here is Hf3ZrBi after structural relaxation from Alexandria via LeMat-Bulk. Energies are from PBE.

Properties
- Space-group type: No. 12
- Energy above the most stable polymorph in this dataset: 9 meV per atom

The structure in POSCAR format:
```
Hf3ZrBi
1.0
3.048 0.000 -0.895
-0.683 9.590 -2.327
0.730 -0.409 8.126
Hf Zr Bi
6 2 2
Direct
0.999 0.250 0.997
0.001 0.750 0.003
0.321 0.169 0.642
0.679 0.831 0.358
0.110 0.553 0.220
0.890 0.447 0.780
0.696 0.355 0.391
0.304 0.645 0.609
0.881 0.938 0.761
0.119 0.062 0.239
```